[1]
# DyEr2Cd3Ga3 | OQMD | PBE | optimized geometry
data_DyEr2Cd3Ga3
_space_group_name_H-M_alt 'A m m 2'
_space_group_IT_number 38
_space_group_name_Hall 'A 2 -2'
_cell_length_a 4.392
_cell_length_b 12.538
_cell_length_c 7.219
_cell_angle_alpha 90.00
_cell_angle_beta 90.00
_cell_angle_gamma 90.00
loop_
_atom_site_label
_atom_site_fract_x
_atom_site_fract_y
_atom_site_fract_z
Dy1 0.000 0.000 0.000
Er1 0.000 0.212 0.363
Cd1 0.500 0.000 0.325
Cd2 0.500 0.125 0.700
Ga1 0.000 0.000 0.574
Ga2 0.500 0.167 0.075
# - total magnetic moment (μB per cell) = 0.00
# - total energy (eV for the cell shown) = -60.21
# - crystal system = orthorhombic



[2]
# Dy2ErCd3InGa2 | OQMD | PBE | optimized geometry
data_Dy2ErCd3InGa2
_space_group_name_H-M_alt 'A m m 2'
_space_group_IT_number 38
_space_group_name_Hall 'A 2 -2'
_cell_length_a 4.502
_cell_length_b 12.634
_cell_length_c 7.299
_cell_angle_alpha 90.00
_cell_angle_beta 90.00
_cell_angle_gamma 90.00
loop_
_atom_site_label
_atom_site_fract_x
_atom_site_fract_y
_atom_site_fract_z
Dy1 0.000 0.219 0.000
Er1 0.000 0.000 0.344
Cd1 0.500 0.000 0.037
Cd2 0.500 0.128 0.654
In1 0.000 0.000 0.781
Ga1 0.500 0.167 0.281
# - total magnetic moment (μB per cell) = 0.00
# - total energy (eV for the cell shown) = -59.17
# - crystal system = orthorhombic